A relaxed structure of CsPa4Te8, computed with PBE.

The calculated volume comes out at 2325.5 Å³ per cell. The calculation puts the formation energy from raw total energies at -0.73 eV per atom.

a b c (Å): 13.249 13.249 13.249
angles (deg): 90.00 90.00 90.00
Space group F-43m (No. 216)
Asymmetric unit:
Cs (0.000, 0.000, 0.000)
Pa (0.121, 0.121, 0.621)
Te (0.114, 0.114, 0.386)
Te (0.147, 0.147, 0.853)